Below is a geometry-optimized Al2Ag8Sn structure, with properties calculated at the PBE level.

```
11
Lattice="4.037 0.000 -1.161 -0.658 6.216 -2.288 0.021 0.468 7.677" Properties=species:S:1:pos:R:3 pbc="T T T"
Al 0.486 4.215 1.690
Al 2.915 2.470 2.539
Ag 2.121 2.982 -0.224
Ag 1.241 0.795 4.317
Ag 0.465 1.453 1.618
Ag -0.283 4.554 -0.984
Ag 2.936 5.231 2.611
Ag 2.160 5.890 -0.087
Ag 1.280 3.703 4.453
Ag 3.684 2.131 5.213
Sn 2.019 0.000 -0.580
```

offset from the most stable computed form: 0.00 eV per formula unit
total DFT energy (no corrections): -0.1154 hartree per atom
energy of formation: -0.53 kcal/mol of atoms
total magnetic moment: 0.00 Bohr magnetons per cell

Below is a geometry-optimized Al2AgSn2 structure, with properties calculated at the PBE level.

```
10
Lattice="7.971 0.000 0.000 0.000 7.971 0.000 0.000 0.000 3.614" Properties=species:S:1:pos:R:3 pbc="T T T"
Sn 2.596 6.581 0.000
Sn 6.581 5.375 0.000
Sn 5.375 1.389 0.000
Sn 1.389 2.596 0.000
Ag 0.000 0.000 0.000
Ag 3.985 3.985 0.000
Al 0.983 4.968 1.807
Al 4.968 6.988 1.807
Al 6.988 3.002 1.807
Al 3.002 0.983 1.807
```

offset from the most stable computed form: 0.49 eV per formula unit
total DFT energy (no corrections): -0.1264 hartree per atom
energy of formation: 5.30 kcal/mol of atoms
total magnetic moment: 0.00 Bohr magnetons per cell

Below is a geometry-optimized AlAg8Sn2 structure, with properties calculated at the PBE level.

```
11
Lattice="4.397 0.000 0.000 0.000 4.397 0.000 0.000 0.000 11.110" Properties=species:S:1:pos:R:3 pbc="T T T"
Al 0.000 0.000 0.000
Ag 0.000 2.199 5.555
Ag 2.199 0.000 5.555
Ag 2.199 2.199 3.549
Ag 2.199 2.199 7.561
Ag 0.000 2.199 1.489
Ag 2.199 0.000 1.489
Ag 0.000 2.199 9.621
Ag 2.199 0.000 9.621
Sn 0.000 0.000 3.499
Sn 0.000 0.000 7.612
```

offset from the most stable computed form: 0.31 eV per formula unit
total DFT energy (no corrections): -0.1141 hartree per atom
energy of formation: 0.82 kcal/mol of atoms
total magnetic moment: 0.00 Bohr magnetons per cell

Below is a geometry-optimized Al2Ag2Sn structure, with properties calculated at the PBE level.

```
10
Lattice="-3.102 0.985 -7.405 7.114 -2.058 -3.254 -0.838 -2.852 -0.028" Properties=species:S:1:pos:R:3 pbc="T T T"
Sn 0.000 0.000 0.000
Sn 2.006 -0.537 -5.329
Ag 5.026 -1.422 -5.532
Ag 1.820 -0.451 -8.477
Ag -1.015 0.349 -5.127
Ag 2.191 -0.622 -2.182
Al 3.792 -2.630 -3.380
Al 3.477 -2.495 -7.648
Al -0.619 -1.295 -7.307
Al -0.304 -1.430 -3.039
```

offset from the most stable computed form: 0.00 eV per formula unit
total DFT energy (no corrections): -0.1241 hartree per atom
energy of formation: 1.43 kcal/mol of atoms
total magnetic moment: 0.00 Bohr magnetons per cell

Below is a geometry-optimized AlAg2Sn structure, with properties calculated at the PBE level.

```
4
Lattice="-2.524 -0.287 1.943 -1.318 -2.872 0.496 4.238 -2.381 7.784" Properties=species:S:1:pos:R:3 pbc="T T T"
Sn 0.198 -2.770 5.112
Ag 0.430 -4.187 7.836
Ag -0.034 -1.353 2.387
Al 0.000 0.000 0.000
```

total DFT energy (no corrections): -0.1218 hartree per atom
energy of formation: 1.10 kcal/mol of atoms
total magnetic moment: 0.00 Bohr magnetons per cell

Below is a geometry-optimized Al2Ag9Sn structure, with properties calculated at the PBE level.

```
12
Lattice="-3.657 1.567 1.400 0.642 -1.843 3.739 5.746 9.920 3.904" Properties=species:S:1:pos:R:3 pbc="T T T"
Al 1.943 3.354 1.320
Al 3.803 6.566 2.584
Ag -1.507 -0.138 2.570
Ag 0.445 3.233 3.896
Ag 2.286 6.411 5.147
Ag -0.800 2.559 1.399
Ag 1.044 5.743 2.652
Ag 2.889 8.928 3.906
Ag 1.350 0.854 2.568
Ag 3.194 4.038 3.822
Ag 5.038 7.222 5.075
Sn 0.000 0.000 0.000
```

total DFT energy (no corrections): -0.1141 hartree per atom
energy of formation: -0.18 kcal/mol of atoms
total magnetic moment: 0.00 Bohr magnetons per cell

Below is a geometry-optimized Al2AgSn2 structure, with properties calculated at the PBE level.

```
5
Lattice="-1.550 3.156 1.446 -1.780 0.637 -3.299 -7.942 -2.361 1.638" Properties=species:S:1:pos:R:3 pbc="T T T"
Sn -2.969 1.012 -0.394
Sn -8.303 0.420 0.179
Ag 0.000 0.000 0.000
Al -5.579 1.346 1.079
Al -5.694 0.086 -1.294
```

offset from the most stable computed form: 0.38 eV per formula unit
total DFT energy (no corrections): -0.1272 hartree per atom
energy of formation: 4.80 kcal/mol of atoms
total magnetic moment: 0.00 Bohr magnetons per cell

Below is a geometry-optimized AlAg2Sn structure, with properties calculated at the PBE level.

```
4
Lattice="-3.010 0.579 -1.090 -1.749 -2.182 -1.663 -4.386 -3.503 7.225" Properties=species:S:1:pos:R:3 pbc="T T T"
Al -3.138 -1.059 -1.807
Ag -3.619 -2.793 5.496
Ag -2.306 -1.231 0.857
Sn -4.654 -2.575 2.163
```

total DFT energy (no corrections): -0.1215 hartree per atom
energy of formation: 1.28 kcal/mol of atoms
total magnetic moment: 0.00 Bohr magnetons per cell

Below is a geometry-optimized Al2Ag6Sn structure, with properties calculated at the PBE level.

```
18
Lattice="4.976 0.057 0.460 0.762 7.766 3.138 0.372 -0.555 8.384" Properties=species:S:1:pos:R:3 pbc="T T T"
Al 2.728 3.771 8.515
Al 0.794 1.369 4.560
Al 3.381 3.497 3.467
Al 5.315 5.899 7.421
Ag 3.010 5.008 6.052
Ag 0.701 4.137 4.499
Ag 3.099 2.260 5.930
Ag 5.409 3.131 7.483
Ag 3.427 0.686 3.590
Ag 5.075 4.586 9.899
Ag 2.682 6.582 8.392
Ag 1.034 2.682 2.083
Ag 2.094 5.755 2.602
Ag 1.809 7.504 5.355
Ag 4.015 1.514 9.380
Ag 4.300 -0.236 6.627
Sn 1.664 0.496 7.846
Sn 4.445 6.772 4.136
```

offset from the most stable computed form: 0.00 eV per formula unit
total DFT energy (no corrections): -0.1163 hartree per atom
energy of formation: 0.32 kcal/mol of atoms
total magnetic moment: 0.00 Bohr magnetons per cell

Below is a geometry-optimized AlAg8Sn2 structure, with properties calculated at the PBE level.

```
11
Lattice="-1.372 -4.856 1.297 3.835 -1.149 -3.251 4.415 0.695 6.505" Properties=species:S:1:pos:R:3 pbc="T T T"
Al -0.686 -2.428 0.649
Ag 1.991 -3.343 0.181
Ag 5.931 -2.180 1.683
Ag 3.107 -1.230 2.098
Ag 5.537 -4.825 4.779
Ag 3.771 -4.080 2.453
Ag 0.946 -3.130 2.868
Ag 4.886 -1.966 4.370
Ag 1.340 -0.485 -0.229
Sn 4.151 -1.395 -0.638
Sn 2.726 -3.915 5.189
```

offset from the most stable computed form: 0.00 eV per formula unit
total DFT energy (no corrections): -0.1152 hartree per atom
energy of formation: 0.16 kcal/mol of atoms
total magnetic moment: 0.00 Bohr magnetons per cell

Below is a geometry-optimized AlAg12Sn3 structure, with properties calculated at the PBE level.

```
16
Lattice="-4.308 0.295 0.129 -0.143 -0.198 -4.313 -1.084 -16.167 0.777" Properties=species:S:1:pos:R:3 pbc="T T T"
Al 0.000 0.000 0.000
Ag -2.225 0.049 -2.092
Ag -2.488 -3.870 -1.904
Ag -2.767 -8.035 -1.703
Ag -3.047 -12.200 -1.503
Ag -2.278 -1.704 0.154
Ag -2.557 -5.857 0.353
Ag -2.835 -10.015 0.553
Ag -3.114 -14.168 0.753
Ag -0.196 -1.950 -2.068
Ag -0.474 -6.103 -1.868
Ag -0.753 -10.261 -1.668
Ag -1.031 -14.414 -1.468
Sn -0.264 -3.932 0.189
Sn -0.542 -8.083 0.389
Sn -0.820 -12.234 0.588
```

total DFT energy (no corrections): -0.1146 hartree per atom
energy of formation: 0.13 kcal/mol of atoms
total magnetic moment: 0.00 Bohr magnetons per cell

Below is a geometry-optimized AlAg2Sn structure, with properties calculated at the PBE level.

```
8
Lattice="7.740 0.000 0.000 0.000 7.740 0.000 3.870 3.870 2.880" Properties=species:S:1:pos:R:3 pbc="T T T"
Sn 0.000 0.000 0.000
Sn 7.740 3.870 1.440
Ag 5.557 1.935 0.720
Ag 2.183 5.805 0.720
Ag 5.805 6.053 2.160
Ag 9.675 9.427 2.160
Al 3.870 3.870 0.000
Al 3.870 7.740 1.440
```

total DFT energy (no corrections): -0.1159 hartree per atom
energy of formation: 4.82 kcal/mol of atoms
total magnetic moment: 0.00 Bohr magnetons per cell

Below is a geometry-optimized Al2Ag2Sn structure, with properties calculated at the PBE level.

```
5
Lattice="3.986 0.000 0.000 0.000 3.986 0.000 1.993 1.993 6.361" Properties=species:S:1:pos:R:3 pbc="T T T"
Sn 0.000 0.000 0.000
Ag 1.993 1.993 1.399
Ag 3.986 3.986 4.963
Al 3.986 1.993 3.181
Al 1.993 3.986 3.181
```

offset from the most stable computed form: 0.02 eV per formula unit
total DFT energy (no corrections): -0.1239 hartree per atom
energy of formation: 1.55 kcal/mol of atoms
total magnetic moment: 0.00 Bohr magnetons per cell

Below is a geometry-optimized Al2Ag7Sn structure, with properties calculated at the PBE level.

```
10
Lattice="-0.480 3.554 2.890 -6.695 1.609 -3.090 0.394 -4.723 5.873" Properties=species:S:1:pos:R:3 pbc="T T T"
Al -4.799 1.478 1.056
Al -1.982 -1.038 4.617
Ag -5.167 0.244 -1.158
Ag -1.134 -3.359 3.941
Ag -0.589 0.456 3.011
Ag -6.192 -0.017 2.662
Ag -2.244 1.935 0.919
Ag -4.537 -1.495 4.755
Ag -3.391 0.220 2.837
Sn 0.000 0.000 0.000
```

total DFT energy (no corrections): -0.1072 hartree per atom
energy of formation: 5.25 kcal/mol of atoms
total magnetic moment: 0.00 Bohr magnetons per cell

Below is a geometry-optimized AlAgSn3 structure, with properties calculated at the PBE level.

```
5
Lattice="5.353 0.000 0.000 0.000 5.353 0.000 0.000 0.000 5.353" Properties=species:S:1:pos:R:3 pbc="T T T"
Sn 0.000 2.676 0.000
Sn 0.000 0.000 2.676
Sn 2.676 0.000 0.000
Ag 0.000 0.000 0.000
Al 2.676 2.676 2.676
```

offset from the most stable computed form: 0.27 eV per formula unit
total DFT energy (no corrections): -0.1153 hartree per atom
energy of formation: 13.46 kcal/mol of atoms
total magnetic moment: 0.00 Bohr magnetons per cell

Below is a geometry-optimized AlAg2Sn structure, with properties calculated at the PBE level.

```
4
Lattice="-1.668 0.380 -2.499 -0.143 -3.003 -0.362 -7.147 -0.230 4.735" Properties=species:S:1:pos:R:3 pbc="T T T"
Sn -4.479 -1.427 0.937
Ag -5.660 -0.182 3.750
Ag -1.487 -0.048 0.985
Al -0.905 -1.311 -1.430
```

total DFT energy (no corrections): -0.1228 hartree per atom
energy of formation: 0.50 kcal/mol of atoms
total magnetic moment: 0.00 Bohr magnetons per cell

Below is a geometry-optimized AlAg3Sn structure, with properties calculated at the PBE level.

```
5
Lattice="-4.704 -0.957 2.088 -0.976 -3.475 -3.791 2.079 -3.796 2.945" Properties=species:S:1:pos:R:3 pbc="T T T"
Sn 0.000 0.000 0.000
Ag -0.488 -1.738 -1.896
Ag 1.039 -1.898 1.472
Ag -2.352 -0.478 1.044
Al -1.800 -4.114 0.621
```

offset from the most stable computed form: 3.01 eV per formula unit
total DFT energy (no corrections): -0.0970 hartree per atom
energy of formation: 14.33 kcal/mol of atoms
total magnetic moment: 0.00 Bohr magnetons per cell

Below is a geometry-optimized Al2Ag2Sn structure, with properties calculated at the PBE level.

```
5
Lattice="-2.906 -2.757 -0.335 0.642 -1.139 3.801 -5.350 2.257 3.706" Properties=species:S:1:pos:R:3 pbc="T T T"
Sn 0.000 0.000 0.000
Ag -4.694 -1.224 2.552
Ag -2.920 -0.415 4.620
Al -2.003 -1.080 2.140
Al -5.611 -0.559 5.032
```

offset from the most stable computed form: 0.18 eV per formula unit
total DFT energy (no corrections): -0.1227 hartree per atom
energy of formation: 2.28 kcal/mol of atoms
total magnetic moment: 0.00 Bohr magnetons per cell

Below is a geometry-optimized AlAgSn3 structure, with properties calculated at the PBE level.

```
5
Lattice="5.279 0.000 0.000 0.000 5.279 0.000 0.000 0.000 5.279" Properties=species:S:1:pos:R:3 pbc="T T T"
Sn 0.000 2.640 0.000
Sn 0.000 0.000 2.640
Sn 2.640 0.000 0.000
Ag 2.640 2.640 2.640
Al 0.000 0.000 0.000
```

offset from the most stable computed form: 0.00 eV per formula unit
total DFT energy (no corrections): -0.1173 hartree per atom
energy of formation: 12.22 kcal/mol of atoms
total magnetic moment: 0.00 Bohr magnetons per cell

Below is a geometry-optimized AlAg2Sn2 structure, with properties calculated at the PBE level.

```
10
Lattice="7.125 0.000 0.000 0.000 7.125 0.000 0.000 0.000 4.423" Properties=species:S:1:pos:R:3 pbc="T T T"
Sn 1.196 4.759 2.211
Sn 4.759 5.929 2.211
Sn 5.929 2.366 2.211
Sn 2.366 1.196 2.211
Ag 2.552 6.115 0.000
Ag 6.115 4.573 0.000
Ag 4.573 1.010 0.000
Ag 1.010 2.552 0.000
Al 0.000 0.000 0.000
Al 3.563 3.563 0.000
```

offset from the most stable computed form: 0.00 eV per formula unit
total DFT energy (no corrections): -0.1232 hartree per atom
energy of formation: 3.18 kcal/mol of atoms
total magnetic moment: 0.00 Bohr magnetons per cell

Below is a geometry-optimized AlAg3Sn structure, with properties calculated at the PBE level.

```
5
Lattice="4.905 0.000 0.000 0.000 4.905 0.000 0.000 0.000 4.905" Properties=species:S:1:pos:R:3 pbc="T T T"
Sn 2.453 2.453 2.453
Ag 0.000 2.453 0.000
Ag 0.000 0.000 2.453
Ag 2.453 0.000 0.000
Al 0.000 0.000 0.000
```

offset from the most stable computed form: 1.80 eV per formula unit
total DFT energy (no corrections): -0.1059 hartree per atom
energy of formation: 8.73 kcal/mol of atoms
total magnetic moment: 0.00 Bohr magnetons per cell

Below is a geometry-optimized AlAg2Sn structure, with properties calculated at the PBE level.

```
4
Lattice="4.402 0.000 0.000 0.000 4.215 0.000 0.000 0.000 4.215" Properties=species:S:1:pos:R:3 pbc="T T T"
Sn 2.201 0.000 0.000
Ag 0.000 0.000 2.107
Ag 0.000 2.107 0.000
Al 2.201 2.107 2.107
```

total DFT energy (no corrections): -0.1207 hartree per atom
energy of formation: 1.76 kcal/mol of atoms
total magnetic moment: 0.00 Bohr magnetons per cell

Below is a geometry-optimized Sr2AlAg3Sn4 structure, with properties calculated at the PBE level.

```
10
Lattice="4.559 0.000 0.000 0.000 4.559 0.000 0.000 0.000 12.407" Properties=species:S:1:pos:R:3 pbc="T T T"
Sr 2.279 0.000 3.148
Sr 0.000 2.279 9.258
Al 2.279 2.279 6.203
Ag 0.000 0.000 6.203
Ag 2.279 0.000 10.609
Ag 0.000 2.279 1.798
Sn 2.279 2.279 0.000
Sn 0.000 0.000 0.000
Sn 2.279 0.000 7.880
Sn 0.000 2.279 4.527
```

total DFT energy (no corrections): -0.1296 hartree per atom
energy of formation: -8.27 kcal/mol of atoms
total magnetic moment: 0.00 Bohr magnetons per cell

Below is a geometry-optimized Sr2AlAg6Sn structure, with properties calculated at the PBE level.

```
10
Lattice="7.255 0.005 -0.001 0.006 7.254 -0.001 3.629 3.629 5.129" Properties=species:S:1:pos:R:3 pbc="T T T"
Sr 3.633 7.256 2.563
Sr 7.257 3.632 2.563
Al 3.630 3.630 -0.001
Ag 5.521 8.997 5.127
Ag 5.371 5.370 -0.001
Ag 3.630 3.629 2.459
Ag 5.368 1.891 -0.001
Ag 5.519 5.518 5.128
Ag 7.260 7.259 2.668
Sn 0.000 0.000 0.000
```

total DFT energy (no corrections): -0.1059 hartree per atom
energy of formation: -1.39 kcal/mol of atoms
total magnetic moment: 0.00 Bohr magnetons per cell